! TiHgB2Pb, relaxed, DFT PBE; values from VASP
&SYSTEM
  ibrav = 0, nat = 5, ntyp = 4
/
ATOMIC_SPECIES
Pb 207.20 Pb.upf
B 10.81 B.upf
Hg 200.59 Hg.upf
Ti 47.87 Ti.upf
ATOMIC_POSITIONS crystal
Pb 0.000 0.000 0.000
B 0.000 0.000 0.500
B 0.500 0.000 0.000
Hg 0.500 0.500 0.500
Ti 0.000 0.500 0.000
CELL_PARAMETERS angstrom
4.557 0.000 0.000
0.000 5.478 0.000
0.000 0.000 4.557
! Total magnetic moment, μB per cell: 0.00
! Space-group type: P4/mmm, No. 123
! Energy of formation, kcal/mol of atoms: 45.14